(1)
Computed, not measured: a relaxed structure of Tm3MgZn3 at the PBE-GGA level of DFT.

POSCAR file:
```
Tm3MgZn3
1.0
5.784 0.069 -2.083
-2.801 4.842 -1.982
-0.040 0.069 6.148
Tm Mg Zn
3 1 3
direct
0.500 0.504 0.000
0.500 0.003 0.500
0.000 0.504 0.500
0.000 0.503 0.000
0.500 0.004 0.000
0.500 0.504 0.500
0.000 0.004 0.500
```

***

(2)
Computed, not measured: a relaxed structure of Pr4Dy5Y at the PBE-GGA level of DFT.

POSCAR file:
```
Pr4Dy5Y
1.0
4.220 0.000 0.000
0.000 4.220 0.000
0.000 0.000 18.879
Pr Dy Y
4 5 1
direct
0.000 0.000 0.200
0.000 0.000 0.399
0.000 0.000 0.601
0.000 0.000 0.800
0.500 0.500 0.097
0.500 0.500 0.299
0.500 0.500 0.500
0.500 0.500 0.701
0.500 0.500 0.903
0.000 0.000 0.000
```

***

Result set for magnetic moment: 0.00, 0.00 μB/atom, one per record in the order listed.
Result set for formation enthalpy at 0 K: -0.087, 0.102 eV/atom, one per record in the order listed.